Computed, not measured: a relaxed LiHgW2 crystal at the PBE-GGA level of DFT.

a = 3.483 Å, b = 3.483 Å, c = 5.397 Å
α = 90.00°, β = 90.00°, γ = 90.00°
Atoms (fractional coordinates):
1 W 0.000 0.000 0.968
2 Li 0.500 0.500 0.750
3 W 0.000 0.000 0.532
4 Hg 0.500 0.500 0.250

## Properties
Final energy, eV/atom: -6.125
Space group: P4/mmm
Calculated formation energy, eV/f.u.: 3.62
Total magnetization, Bohr magnetons per cell: 0.0
Crystal system: tetragonal


Computed, not measured: a relaxed LiHgW crystal at the PBE-GGA level of DFT.

a = 2.853 Å, b = 2.853 Å, c = 7.437 Å
α = 90.00°, β = 90.00°, γ = 120.00°
Atoms (fractional coordinates):
1 Hg 0.000 0.000 0.010
2 Li 0.667 0.333 0.333
3 W 0.333 0.667 0.656

## Properties
Final energy, eV/atom: -4.551
Space group: P3m1
Calculated formation energy, eV/f.u.: 1.51
Total magnetization, Bohr magnetons per cell: 0.0
Energy relative to the lowest polymorph listed for this composition, meV per atom: 7
Crystal system: trigonal


Computed, not measured: a relaxed Li2HgW crystal at the PBE-GGA level of DFT.

a = 4.965 Å, b = 2.686 Å, c = 5.122 Å
α = 89.92°, β = 90.00°, γ = 90.00°
Atoms (fractional coordinates):
1 Li 0.500 0.374 0.205
2 Hg 0.500 0.875 0.692
3 W 0.000 0.375 0.552
4 Li 0.000 0.876 0.052

## Properties
Final energy, eV/atom: -3.814
Space group: Pmm2
Calculated formation energy, eV/f.u.: 1.83
Total magnetization, Bohr magnetons per cell: 0.0
Crystal system: orthorhombic


Computed, not measured: a relaxed Li2HgW crystal at the PBE-GGA level of DFT.

a = 4.063 Å, b = 4.004 Å, c = 4.004 Å
α = 90.00°, β = 90.00°, γ = 90.00°
Each line ends with the local moment (μB).
Atoms (fractional coordinates):
1 Li 0.000 0.500 0.500  0.02
2 Hg 0.500 0.000 0.500  0.01
3 Li 0.000 0.000 0.000  0.02
4 W 0.500 0.500 0.000  1.05

## Properties
Final energy, eV/atom: -3.649
Space group: P4/mmm
Calculated formation energy, eV/f.u.: 2.49
Total magnetization, Bohr magnetons per cell: 1.4
Crystal system: tetragonal


Computed, not measured: a relaxed LiHg2W crystal at the PBE-GGA level of DFT.

a = 5.391 Å, b = 5.391 Å, c = 5.391 Å
α = 136.21°, β = 136.21°, γ = 63.65°
Each line ends with the local moment (μB).
Atoms (fractional coordinates):
1 Li 0.500 0.500 0.000  0.01
2 W 0.750 0.250 0.500  0.77
3 Hg 0.250 0.750 0.500  0.00
4 Hg 0.000 0.000 0.000  0.02

## Properties
Final energy, eV/atom: -3.129
Space group: I-4m2
Calculated formation energy, eV/f.u.: 2.96
Total magnetization, Bohr magnetons per cell: 1.0
Energy relative to the lowest polymorph listed for this composition, meV per atom: 395
Crystal system: tetragonal


Computed, not measured: a relaxed Li2HgW crystal at the PBE-GGA level of DFT.

a = 5.757 Å, b = 5.757 Å, c = 5.757 Å
α = 152.71°, β = 127.39°, γ = 60.27°
Atoms (fractional coordinates):
1 Hg 0.750 0.250 0.500
2 Li 0.994 0.994 0.000
3 Li 0.506 0.506 0.000
4 W 0.250 0.750 0.500

## Properties
Final energy, eV/atom: -3.789
Space group: Immm
Calculated formation energy, eV/f.u.: 1.93
Total magnetization, Bohr magnetons per cell: 0.0
Crystal system: orthorhombic


Computed, not measured: a relaxed LiHgW crystal at the PBE-GGA level of DFT.

a = 7.656 Å, b = 7.492 Å, c = 2.751 Å
α = 82.92°, β = 76.19°, γ = 20.89°
Atoms (fractional coordinates):
1 W 0.327 0.327 0.673
2 Hg 0.006 0.006 0.994
3 Li 0.668 0.668 0.332

## Properties
Final energy, eV/atom: -4.558
Space group: Fmm2
Calculated formation energy, eV/f.u.: 1.50
Total magnetization, Bohr magnetons per cell: 0.0
Energy relative to the lowest polymorph listed for this composition, meV per atom: 0
Crystal system: orthorhombic


Computed, not measured: a relaxed LiHg2W crystal at the PBE-GGA level of DFT.

a = 5.733 Å, b = 5.733 Å, c = 5.733 Å
α = 151.40°, β = 124.19°, γ = 63.90°
Atoms (fractional coordinates):
1 Hg 0.517 0.517 0.000
2 W 0.250 0.750 0.500
3 Li 0.750 0.250 0.500
4 Hg 0.983 0.983 0.000

## Properties
Final energy, eV/atom: -3.139
Space group: Immm
Calculated formation energy, eV/f.u.: 2.91
Total magnetization, Bohr magnetons per cell: 0.0
Energy relative to the lowest polymorph listed for this composition, meV per atom: 385
Crystal system: orthorhombic


Computed, not measured: a relaxed LiHg2W crystal at the PBE-GGA level of DFT.

a = 5.949 Å, b = 5.949 Å, c = 5.949 Å
α = 152.39°, β = 129.72°, γ = 58.32°
Each line ends with the local moment (μB).
Atoms (fractional coordinates):
1 Hg 0.004 0.004 0.000  0.00
2 Hg 0.741 0.241 0.500  0.01
3 W 0.251 0.751 0.500  0.37
4 Li 0.503 0.503 0.000  -0.01

## Properties
Final energy, eV/atom: -3.327
Space group: Imm2
Calculated formation energy, eV/f.u.: 2.16
Total magnetization, Bohr magnetons per cell: 0.5
Energy relative to the lowest polymorph listed for this composition, meV per atom: 197
Crystal system: orthorhombic


Computed, not measured: a relaxed LiHgW2 crystal at the PBE-GGA level of DFT.

a = 4.645 Å, b = 3.739 Å, c = 3.739 Å
α = 90.00°, β = 90.00°, γ = 90.00°
Atoms (fractional coordinates):
1 W 0.000 0.000 0.000
2 Hg 0.500 0.500 0.000
3 W 0.000 0.500 0.500
4 Li 0.500 0.000 0.500

## Properties
Final energy, eV/atom: -6.545
Space group: P4/mmm
Calculated formation energy, eV/f.u.: 1.94
Total magnetization, Bohr magnetons per cell: 0.0
Crystal system: tetragonal


Computed, not measured: a relaxed LiHgW2 crystal at the PBE-GGA level of DFT.

a = 3.290 Å, b = 3.290 Å, c = 6.266 Å
α = 90.00°, β = 90.00°, γ = 90.00°
Atoms (fractional coordinates):
1 Li 0.500 0.500 0.746
2 W 0.500 0.500 0.204
3 Hg 0.000 0.000 0.534
4 W 0.000 0.000 0.016

## Properties
Final energy, eV/atom: -6.632
Space group: P4mm
Calculated formation energy, eV/f.u.: 1.59
Total magnetization, Bohr magnetons per cell: 0.0
Crystal system: tetragonal


Computed, not measured: a relaxed LiHg2W crystal at the PBE-GGA level of DFT.

a = 4.824 Å, b = 4.824 Å, c = 5.877 Å
α = 83.40°, β = 83.40°, γ = 33.91°
Each line ends with the local moment (μB).
Atoms (fractional coordinates):
1 W 0.750 0.750 0.750  0.46
2 Li 0.250 0.250 0.250  0.00
3 Hg 0.000 0.000 0.003  0.01
4 Hg 0.500 0.500 0.497  0.01

## Properties
Final energy, eV/atom: -3.276
Space group: C2/m
Calculated formation energy, eV/f.u.: 2.37
Total magnetization, Bohr magnetons per cell: 0.6
Energy relative to the lowest polymorph listed for this composition, meV per atom: 248
Crystal system: monoclinic


Computed, not measured: a relaxed LiHg2W crystal at the PBE-GGA level of DFT.

a = 5.579 Å, b = 5.579 Å, c = 5.158 Å
α = 72.12°, β = 72.12°, γ = 29.24°
Atoms (fractional coordinates):
1 Hg 0.002 0.002 0.890
2 W 0.746 0.746 0.850
3 Hg 0.252 0.252 0.345
4 Li 0.500 0.500 0.415

## Properties
Final energy, eV/atom: -3.439
Space group: Cm
Calculated formation energy, eV/f.u.: 1.71
Total magnetization, Bohr magnetons per cell: 0.0
Energy relative to the lowest polymorph listed for this composition, meV per atom: 85
Crystal system: monoclinic